Record 1
A relaxed structure of YOs2Ru. Source: Alexandria via LeMat-Bulk, functional PBE.

Unit cell a=4.643 b=4.643 c=3.119 alpha=90.00 beta=90.00 gamma=90.00
Last column: magnetic moment on the atom in μB.
Fractional positions:
Os1 0.000 0.000 0.000  0.31
Os2 0.500 0.500 0.000  0.31
Ru1 0.500 0.000 0.500  0.79
Y1 0.000 0.500 0.500  -0.02

Properties
As for the energy above the lowest structure with this stoichiometry: 0.267 eV per atom.



Record 2
A relaxed structure of YOsRu. Source: Alexandria via LeMat-Bulk, functional PBE.

Unit cell a=4.472 b=4.472 c=4.472 alpha=60.00 beta=60.00 gamma=60.00
Last column: magnetic moment on the atom in μB.
Fractional positions:
Os1 0.000 0.000 0.000  0.55
Ru1 0.500 0.500 0.500  0.50
Y1 0.250 0.250 0.250  -0.01

Properties
As for the energy above the lowest structure with this stoichiometry: 1.636 eV per atom.



Record 3
A relaxed structure of YOsRu. Source: Alexandria via LeMat-Bulk, functional PBE.

Unit cell a=4.433 b=4.433 c=4.433 alpha=60.00 beta=60.00 gamma=60.00
Fractional positions:
Os1 0.500 0.500 0.500
Ru1 0.250 0.250 0.250
Y1 0.000 0.000 0.000

Properties
As for the energy above the lowest structure with this stoichiometry: 0.739 eV per atom.



Record 4
A relaxed structure of YOs2Ru. Source: Alexandria via LeMat-Bulk, functional PBE.

Unit cell a=5.205 b=5.205 c=4.817 alpha=75.59 beta=75.59 gamma=32.56
Fractional positions:
Os1 0.978 0.978 0.045
Os2 0.522 0.522 0.455
Ru1 0.250 0.250 0.250
Y1 0.750 0.750 0.750

Properties
As for the energy above the lowest structure with this stoichiometry: 0.046 eV per atom.



Record 5
A relaxed structure of YOs2Ru2. Source: Alexandria via LeMat-Bulk, functional PBE.

Unit cell a=7.651 b=7.651 c=2.803 alpha=90.00 beta=90.00 gamma=90.00
Fractional positions:
Y1 0.000 0.000 0.000
Y2 0.500 0.500 0.000
Ru1 0.379 0.879 0.000
Ru2 0.879 0.621 0.000
Ru3 0.621 0.121 0.000
Ru4 0.121 0.379 0.000
Os1 0.173 0.673 0.500
Os2 0.673 0.827 0.500
Os3 0.827 0.327 0.500
Os4 0.327 0.173 0.500

Properties
As for the energy above the lowest structure with this stoichiometry: 0.055 eV per atom.



Record 6
A relaxed structure of Y3OsRu. Source: Alexandria via LeMat-Bulk, functional PBE.

Unit cell a=5.265 b=5.265 c=5.265 alpha=90.00 beta=90.00 gamma=90.00
Last column: magnetic moment on the atom in μB.
Fractional positions:
Y1 0.000 0.500 0.000  -0.04
Y2 0.000 0.000 0.500  -0.04
Y3 0.500 0.000 0.000  -0.07
Ru1 0.500 0.500 0.500  1.31
Os1 0.000 0.000 0.000  0.03

Properties
As for the energy above the lowest structure with this stoichiometry: 0.000 eV per atom.



Record 7
A relaxed structure of YOs2Ru. Source: Alexandria via LeMat-Bulk, functional PBE.

Unit cell a=9.784 b=9.784 c=9.784 alpha=16.49 beta=16.49 gamma=16.49
Last column: magnetic moment on the atom in μB.
Fractional positions:
Os1 0.991 0.991 0.991  0.04
Os2 0.509 0.509 0.509  0.04
Ru1 0.250 0.250 0.250  0.07
Y1 0.750 0.750 0.750  0.29

Properties
As for the energy above the lowest structure with this stoichiometry: 0.323 eV per atom.



Record 8
A relaxed structure of YOs2Ru. Source: Alexandria via LeMat-Bulk, functional PBE.

Unit cell a=4.564 b=4.564 c=4.564 alpha=60.00 beta=60.00 gamma=60.00
Last column: magnetic moment on the atom in μB.
Fractional positions:
Os1 0.000 0.000 0.000  0.14
Os2 0.750 0.750 0.750  0.75
Ru1 0.500 0.500 0.500  0.71
Y1 0.250 0.250 0.250  -0.02

Properties
As for the energy above the lowest structure with this stoichiometry: 0.244 eV per atom.



Record 9
A relaxed structure of Y4OsRu. Source: Alexandria via LeMat-Bulk, functional PBE.

Unit cell a=6.280 b=7.573 c=7.888 alpha=114.46 beta=108.57 gamma=99.54
Fractional positions:
Y1 0.007 0.244 0.877
Y2 0.790 0.695 0.647
Y3 0.370 0.633 0.877
Y4 0.357 0.952 0.647
Y5 0.643 0.048 0.353
Y6 0.630 0.367 0.123
Y7 0.210 0.305 0.353
Y8 0.993 0.756 0.123
Os1 0.249 0.999 0.998
Os2 0.751 0.001 0.002
Ru1 0.385 0.635 0.270
Ru2 0.615 0.365 0.730

Properties
As for the energy above the lowest structure with this stoichiometry: 0.000 eV per atom.



Record 10
A relaxed structure of YOs2Ru. Source: Alexandria via LeMat-Bulk, functional PBE.

Unit cell a=2.833 b=3.838 c=6.320 alpha=90.00 beta=90.00 gamma=90.00
Fractional positions:
Os1 0.000 0.000 0.053
Os2 0.500 0.500 0.244
Ru1 0.000 0.000 0.457
Y1 0.500 0.500 0.747

Properties
As for the energy above the lowest structure with this stoichiometry: 0.040 eV per atom.



Record 11
A relaxed structure of Y2OsRu. Source: Alexandria via LeMat-Bulk, functional PBE.

Unit cell a=3.177 b=4.507 c=5.765 alpha=90.00 beta=90.00 gamma=90.00
Fractional positions:
Os1 0.000 0.000 0.475
Ru1 0.500 0.500 0.771
Y1 0.000 0.000 0.950
Y2 0.500 0.500 0.304



Record 12
A relaxed structure of YOs2Ru. Source: Alexandria via LeMat-Bulk, functional PBE.

Unit cell a=4.334 b=2.884 c=5.627 alpha=75.06 beta=90.00 gamma=90.00
Fractional positions:
Os1 0.000 0.030 0.067
Os2 0.500 0.449 0.229
Ru1 0.000 0.320 0.484
Y1 0.500 0.702 0.720

Properties
As for the energy above the lowest structure with this stoichiometry: 0.008 eV per atom.



Record 13
A relaxed structure of YOs2Ru. Source: Alexandria via LeMat-Bulk, functional PBE.

Unit cell a=2.873 b=2.873 c=8.108 alpha=90.00 beta=90.00 gamma=89.98
Fractional positions:
Os1 0.000 0.000 0.035
Os2 0.000 0.000 0.465
Ru1 0.500 0.500 0.250
Y1 0.500 0.500 0.750

Properties
As for the energy above the lowest structure with this stoichiometry: 0.063 eV per atom.



Record 14
A relaxed structure of Y4OsRu. Source: Alexandria via LeMat-Bulk, functional PBE.

Unit cell a=6.832 b=6.836 c=6.834 alpha=90.00 beta=90.06 gamma=90.00
Fractional positions:
Y1 0.835 0.665 0.165
Y2 0.665 0.165 0.835
Y3 0.334 0.334 0.334
Y4 0.166 0.834 0.666
Y5 0.165 0.335 0.835
Y6 0.335 0.835 0.165
Y7 0.666 0.666 0.666
Y8 0.834 0.166 0.334
Os1 0.000 0.000 0.000
Os2 0.500 0.500 0.000
Ru1 0.500 0.000 0.500
Ru2 0.000 0.500 0.500

Properties
As for the energy above the lowest structure with this stoichiometry: 0.115 eV per atom.



Record 15
A relaxed structure of YOsRu. Source: Alexandria via LeMat-Bulk, functional PBE.

Unit cell a=4.167 b=4.167 c=4.231 alpha=90.00 beta=90.00 gamma=120.00
Fractional positions:
Os1 0.000 0.000 0.167
Ru1 0.667 0.333 0.167
Y1 0.333 0.667 0.667

Properties
As for the energy above the lowest structure with this stoichiometry: 0.284 eV per atom.



Record 16
A relaxed structure of Y2OsRu3. Source: Alexandria via LeMat-Bulk, functional PBE.

Unit cell a=5.317 b=5.317 c=8.807 alpha=90.00 beta=90.00 gamma=120.00
Fractional positions:
Y1 0.667 0.333 0.435
Y2 0.333 0.667 0.565
Y3 0.333 0.667 0.935
Y4 0.667 0.333 0.065
Os1 0.000 0.000 0.500
Os2 0.000 0.000 0.000
Ru1 0.171 0.343 0.250
Ru2 0.343 0.171 0.750
Ru3 0.829 0.657 0.750
Ru4 0.171 0.829 0.250
Ru5 0.829 0.171 0.750
Ru6 0.657 0.829 0.250



Record 17
A relaxed structure of Y2OsRu. Source: Alexandria via LeMat-Bulk, functional PBE.

Unit cell a=5.726 b=5.726 c=5.726 alpha=138.73 beta=138.73 gamma=59.79
Fractional positions:
Os1 0.500 0.500 0.000
Ru1 0.750 0.250 0.500
Y1 0.000 0.000 0.000
Y2 0.250 0.750 0.500



Record 18
A relaxed structure of YOs2Ru2. Source: Alexandria via LeMat-Bulk, functional PBE.

Unit cell a=7.654 b=7.654 c=2.808 alpha=90.00 beta=90.00 gamma=90.00
Fractional positions:
Y1 0.000 0.000 0.000
Y2 0.500 0.500 0.000
Ru1 0.173 0.673 0.500
Ru2 0.673 0.827 0.500
Ru3 0.827 0.327 0.500
Ru4 0.327 0.173 0.500
Os1 0.380 0.880 0.000
Os2 0.880 0.620 0.000
Os3 0.620 0.120 0.000
Os4 0.120 0.380 0.000

Properties
As for the energy above the lowest structure with this stoichiometry: 0.035 eV per atom.



Record 19
A relaxed structure of YOsRu. Source: Alexandria via LeMat-Bulk, functional PBE.

Unit cell a=5.630 b=5.630 c=5.630 alpha=150.19 beta=140.25 gamma=50.47
Fractional positions:
Os1 0.963 0.963 0.000
Ru1 0.372 0.372 0.000
Y1 0.665 0.665 0.000

Properties
As for the energy above the lowest structure with this stoichiometry: 0.407 eV per atom.



Record 20
A relaxed structure of YOs2Ru. Source: Alexandria via LeMat-Bulk, functional PBE.

Unit cell a=5.773 b=5.773 c=5.773 alpha=151.00 beta=133.35 gamma=55.87
Fractional positions:
Os1 0.970 0.970 0.000
Os2 0.530 0.530 0.000
Ru1 0.750 0.250 0.500
Y1 0.250 0.750 0.500

Properties
As for the energy above the lowest structure with this stoichiometry: 0.057 eV per atom.



Record 21
A relaxed structure of Y2OsRu. Source: Alexandria via LeMat-Bulk, functional PBE.

Unit cell a=7.554 b=7.554 c=6.096 alpha=51.72 beta=51.72 gamma=90.00
Fractional positions:
Y1 0.621 0.125 0.250
Y2 0.129 0.625 0.250
Y3 0.375 0.379 0.750
Y4 0.875 0.871 0.750
Ru1 0.500 0.500 0.000
Ru2 0.250 0.750 0.500
Os1 0.000 0.000 0.000
Os2 0.750 0.250 0.500



Record 22
A relaxed structure of YOs2Ru. Source: Alexandria via LeMat-Bulk, functional PBE.

Unit cell a=2.820 b=3.876 c=6.298 alpha=90.00 beta=90.00 gamma=90.00
Fractional positions:
Os1 0.000 0.000 0.049
Os2 0.000 0.000 0.451
Ru1 0.500 0.500 0.250
Y1 0.500 0.500 0.750

Properties
As for the energy above the lowest structure with this stoichiometry: 0.080 eV per atom.



Record 23
A relaxed structure of YOsRu. Source: Alexandria via LeMat-Bulk, functional PBE.

Unit cell a=2.892 b=2.892 c=7.275 alpha=90.00 beta=90.00 gamma=120.00
Fractional positions:
Os1 0.000 0.000 0.028
Ru1 0.667 0.333 0.306
Y1 0.333 0.667 0.665

Properties
As for the energy above the lowest structure with this stoichiometry: 0.835 eV per atom.



Record 24
A relaxed structure of YOs2Ru. Source: Alexandria via LeMat-Bulk, functional PBE.

Unit cell a=9.733 b=9.733 c=9.733 alpha=16.68 beta=16.68 gamma=16.68
Last column: magnetic moment on the atom in μB.
Fractional positions:
Os1 0.990 0.990 0.990  0.06
Os2 0.250 0.250 0.250  0.07
Ru1 0.509 0.509 0.509  0.12
Y1 0.750 0.750 0.750  0.30

Properties
As for the energy above the lowest structure with this stoichiometry: 0.326 eV per atom.



Record 25
A relaxed structure of YOs2Ru. Source: Alexandria via LeMat-Bulk, functional PBE.

Unit cell a=4.169 b=4.003 c=4.003 alpha=90.00 beta=90.00 gamma=90.00
Fractional positions:
Os1 0.000 0.000 0.000
Os2 0.000 0.500 0.500
Ru1 0.500 0.500 0.000
Y1 0.500 0.000 0.500

Properties
As for the energy above the lowest structure with this stoichiometry: 0.160 eV per atom.



Record 26
A relaxed structure of YOs2Ru. Source: Alexandria via LeMat-Bulk, functional PBE.

Unit cell a=4.962 b=4.962 c=2.854 alpha=90.00 beta=90.00 gamma=110.13
Fractional positions:
Os1 0.000 0.000 0.000
Os2 0.500 0.500 0.000
Ru1 0.500 0.000 0.500
Y1 0.000 0.500 0.500

Properties
As for the energy above the lowest structure with this stoichiometry: 0.165 eV per atom.



Record 27
A relaxed structure of YOs2Ru. Source: Alexandria via LeMat-Bulk, functional PBE.

Unit cell a=5.116 b=5.116 c=5.116 alpha=134.50 beta=134.50 gamma=66.31
Fractional positions:
Os1 0.000 0.000 0.000
Os2 0.500 0.500 0.000
Ru1 0.250 0.750 0.500
Y1 0.750 0.250 0.500

Properties
As for the energy above the lowest structure with this stoichiometry: 0.183 eV per atom.



Record 28
A relaxed structure of YOs2Ru. Source: Alexandria via LeMat-Bulk, functional PBE.

Unit cell a=7.598 b=7.598 c=5.973 alpha=50.51 beta=50.51 gamma=90.00
Fractional positions:
Y1 0.500 0.500 0.000
Y2 0.250 0.750 0.500
Ru1 0.000 0.000 0.000
Ru2 0.750 0.250 0.500
Os1 0.678 0.125 0.250
Os2 0.072 0.625 0.250
Os3 0.375 0.322 0.750
Os4 0.875 0.928 0.750

Properties
As for the energy above the lowest structure with this stoichiometry: 0.385 eV per atom.



| no. | total DFT energy (no corrections) (eV/f.u.) | energy of formation (eV/atom) |
| --- | --- | --- |
| 1 | -36.33 | 0.47 |
| 2 | -22.91 | 1.35 |
| 3 | -25.60 | 0.46 |
| 4 | -37.22 | 0.25 |
| 5 | -47.08 | 0.08 |
| 6 | -37.20 | 0.54 |
| 7 | -36.11 | 0.52 |
| 8 | -36.43 | 0.44 |
| 9 | -48.05 | -0.28 |
| 10 | -37.24 | 0.24 |
| 11 | -32.41 | 0.26 |
| 12 | -37.37 | 0.21 |
| 13 | -37.15 | 0.26 |
| 14 | -47.36 | -0.17 |
| 15 | -26.96 | 0.00 |
| 16 | -53.78 | -0.30 |
| 17 | -32.93 | 0.13 |
| 18 | -47.18 | 0.06 |
| 19 | -26.60 | 0.12 |
| 20 | -37.18 | 0.26 |
| 21 | -31.72 | 0.43 |
| 22 | -37.08 | 0.28 |
| 23 | -25.31 | 0.55 |
| 24 | -36.10 | 0.53 |
| 25 | -36.76 | 0.36 |
| 26 | -36.74 | 0.36 |
| 27 | -36.67 | 0.38 |
| 28 | -35.86 | 0.58 |